No. 1
Computed, not measured: crystalline NaLaYSbO6 at its relaxed geometry at the GGA-PBE level of DFT.

Cell: 5.8883 5.8883 5.8883 Å, 60.00 60.00 60.00°
Atoms (fractional coordinates):
O 0.2375 0.7625 0.2375
Y 0.5000 0.5000 0.5000
O 0.7625 0.2375 0.2375
O 0.2375 0.7625 0.7625
O 0.7625 0.2375 0.7625
Na 0.7500 0.7500 0.7500
O 0.7625 0.7625 0.2375
O 0.2375 0.2375 0.7625
La 0.2500 0.2500 0.2500
Sb 0.0000 0.0000 0.0000

Output
The raw total energy comes out at -7.09 eV per atom. For the formation energy without anion corrections, the calculation gives -2.43 eV per atom. Its crystal system is cubic. As for the magnetic moment: 0.00 μB/f.u. As for the symmetry: F-43m (216).

No. 2
Computed, not measured: crystalline Na3LaSe4O12 at its relaxed geometry at the GGA-PBE level of DFT.

Cell: 7.1872 7.1872 7.1872 Å, 106.27 106.27 106.27°
Atoms (fractional coordinates):
O 0.5000 0.3574 0.6426
O 0.5000 0.0642 0.9358
O 0.3391 0.0124 0.2139
O 0.0642 0.9358 0.5000
Na 0.4346 0.0000 0.5654
La 0.0000 0.0000 0.0000
O 0.9876 0.6609 0.7861
O 0.0124 0.2139 0.3391
Se 0.0820 0.5000 0.9180
O 0.2139 0.3391 0.0124
Na 0.0000 0.5654 0.4346
O 0.6609 0.7861 0.9876
O 0.3574 0.6426 0.5000
Na 0.5654 0.4346 0.0000
O 0.9358 0.5000 0.0642
Se 0.5000 0.5000 0.5000
O 0.7861 0.9876 0.6609
Se 0.9180 0.0820 0.5000
O 0.6426 0.5000 0.3574
Se 0.5000 0.9180 0.0820

Output
The raw total energy comes out at -5.18 eV per atom. For the formation energy without anion corrections, the calculation gives -1.06 eV per atom. Its crystal system is trigonal. As for the magnetic moment: 0.00 μB/f.u. As for the symmetry: R32 (155).

No. 3
Computed, not measured: crystalline Na2LaSe2O6 at its relaxed geometry at the GGA-PBE level of DFT.

Cell: 5.5940 6.1039 6.8241 Å, 105.37 90.00 117.27°
Last column: magnetic moment on the atom in μB.
Atoms (fractional coordinates):
Se 0.1483 0.2966 0.3666  -0.07
La 0.5000 0.0000 0.5000  -0.07
Se 0.8517 0.7034 0.6334  -0.07
O 0.1832 0.8645 0.7559  -0.02
O 0.2856 0.5711 0.2565  -0.05
O 0.8168 0.1355 0.2441  -0.02
Na 0.3398 0.6795 0.9472  0.00
O 0.3187 0.1355 0.2441  -0.02
O 0.6813 0.8645 0.7559  -0.02
Na 0.6602 0.3205 0.0528  0.00
O 0.7144 0.4289 0.7435  -0.05

Output
The raw total energy comes out at -5.54 eV per atom. For the formation energy without anion corrections, the calculation gives -1.52 eV per atom. Its crystal system is monoclinic. As for the magnetic moment: 0.76 μB/f.u. As for the symmetry: C2/m (12).

No. 4
Computed, not measured: crystalline NaLaSe2O6 at its relaxed geometry at the GGA-PBE level of DFT.

Cell: 6.7425 6.7425 7.8890 Å, 92.21 92.21 108.38°
Atoms (fractional coordinates):
O 0.4381 0.9556 0.7377
O 0.0444 0.5619 0.7623
Se 0.6851 0.9157 0.1319
O 0.3051 0.5292 0.4361
O 0.8087 0.7938 0.2684
O 0.5292 0.3051 0.9361
O 0.5619 0.0444 0.2623
O 0.4708 0.6949 0.0639
O 0.2062 0.1913 0.2316
O 0.7938 0.8087 0.7684
O 0.6949 0.4708 0.5639
Se 0.9157 0.6851 0.6319
Se 0.0843 0.3149 0.3681
O 0.9556 0.4381 0.2377
Na 0.8111 0.1889 0.7500
Na 0.1889 0.8111 0.2500
La 0.4184 0.5816 0.7500
Se 0.3149 0.0843 0.8681
La 0.5816 0.4184 0.2500
O 0.1913 0.2062 0.7316

Output
The raw total energy comes out at -6.06 eV per atom. For the formation energy without anion corrections, the calculation gives -1.76 eV per atom. Its crystal system is monoclinic. As for the magnetic moment: 0.00 μB/f.u. As for the symmetry: C2/c (15). The energy above the lowest structure with this stoichiometry comes out at 1 meV per atom.

No. 5
Computed, not measured: crystalline NaLaSe2O6 at its relaxed geometry at the GGA-PBE level of DFT.

Cell: 5.6577 5.6577 5.6577 Å, 60.00 60.00 60.00°
Atoms (fractional coordinates):
O 0.5000 0.0000 0.5000
La 0.0000 0.0000 0.0000
Na 0.5000 0.5000 0.5000
Se 0.7500 0.7500 0.7500
O 0.0000 0.5000 0.5000
O 0.5000 0.0000 0.0000
Se 0.2500 0.2500 0.2500
O 0.0000 0.5000 0.0000
O 0.0000 0.0000 0.5000
O 0.5000 0.5000 0.0000

Output
The raw total energy comes out at -5.65 eV per atom. For the formation energy without anion corrections, the calculation gives -1.35 eV per atom. Its crystal system is cubic. As for the magnetic moment: 0.00 μB/f.u. As for the symmetry: Fm-3m (225). The energy above the lowest structure with this stoichiometry comes out at 412 meV per atom.

No. 6
Computed, not measured: crystalline NaLa2SeO5 at its relaxed geometry at the GGA-PBE level of DFT.

Cell: 6.9762 6.9762 7.8375 Å, 116.43 116.43 90.00°
Last column: magnetic moment on the atom in μB.
Atoms (fractional coordinates):
La 0.1780 0.3220 0.0000  0.03
O 0.5134 0.7432 0.7566  0.07
O 0.7568 0.9866 0.2434  0.07
O 0.5000 0.5000 0.0000  0.00
O 0.4866 0.2568 0.2434  0.07
Se 0.7500 0.2500 0.5000  0.33
O 0.7432 0.2432 0.7566  0.07
La 0.3220 0.8220 0.0000  0.03
Na 0.7500 0.7500 0.5000  0.00
La 0.6780 0.1780 0.0000  0.03
O 0.9866 0.4866 0.2434  0.07
La 0.8220 0.6780 0.0000  0.03
Na 0.2500 0.2500 0.5000  0.00
O 0.0134 0.5134 0.7566  0.07
O 0.2568 0.7568 0.2434  0.07
Se 0.2500 0.7500 0.5000  0.33
O 0.0000 0.0000 0.0000  0.00
O 0.2432 0.0134 0.7566  0.07

Output
The raw total energy comes out at -6.42 eV per atom. For the formation energy without anion corrections, the calculation gives -2.04 eV per atom. Its crystal system is tetragonal. As for the magnetic moment: 1.01 μB/f.u. As for the symmetry: I4/mcm (140).

No. 7
Computed, not measured: crystalline NaLaSeO4 at its relaxed geometry at the GGA-PBE level of DFT.

Cell: 7.2544 6.7799 6.7799 Å, 64.25 57.66 57.66°
Atoms (fractional coordinates):
O 0.2900 0.6497 0.7704
La 0.0000 0.5000 0.5000
O 0.2900 0.2704 0.1497
La 0.0000 0.0000 0.0000
O 0.7100 0.3503 0.2296
O 0.2133 0.2458 0.7458
O 0.7951 0.2458 0.7458
Na 0.0000 0.0000 0.5000
O 0.7867 0.7542 0.2542
Se 0.4082 0.3418 0.8418
Na 0.5000 0.0000 0.5000
O 0.2049 0.7542 0.2542
O 0.7100 0.7296 0.8503
Se 0.5918 0.6582 0.1582

Output
The raw total energy comes out at -6.02 eV per atom. For the formation energy without anion corrections, the calculation gives -1.80 eV per atom. Its crystal system is orthorhombic. As for the magnetic moment: 0.00 μB/f.u. As for the symmetry: Imma (74).

No. 8
Computed, not measured: crystalline NaLaSe2O6 at its relaxed geometry at the GGA-PBE level of DFT.

Cell: 6.8613 6.7616 13.8217 Å, 72.53 90.00 90.00°
Atoms (fractional coordinates):
O 0.5165 0.4534 0.1447
Na 0.8349 0.9231 0.8838
O 0.1723 0.2491 0.2552
Se 0.6494 0.3780 0.9306
La 0.1213 0.5093 0.8359
Se 0.8506 0.3780 0.4306
O 0.3375 0.8740 0.3338
O 0.7823 0.3069 0.8378
Na 0.6651 0.9231 0.3838
O 0.4835 0.5466 0.8553
O 0.6798 0.5329 0.4635
La 0.6213 0.4907 0.6641
Se 0.6668 0.9651 0.1378
O 0.1625 0.8740 0.8338
O 0.7177 0.3069 0.3378
La 0.3787 0.5093 0.3359
O 0.2032 0.1397 0.9418
O 0.7032 0.8603 0.5582
O 0.3277 0.2491 0.7552
O 0.8375 0.1260 0.1662
O 0.7968 0.8603 0.0582
O 0.2968 0.1397 0.4418
O 0.1798 0.4671 0.0365
O 0.0165 0.5466 0.3553
Na 0.3349 0.0769 0.6162
O 0.2823 0.6931 0.6622
O 0.6625 0.1260 0.6662
O 0.2177 0.6931 0.1622
La 0.8787 0.4907 0.1641
Na 0.1651 0.0769 0.1162
O 0.6723 0.7509 0.2448
Se 0.1494 0.6220 0.5694
Se 0.8332 0.9651 0.6378
Se 0.3506 0.6220 0.0694
Se 0.1668 0.0349 0.3622
Se 0.3332 0.0349 0.8622
O 0.8277 0.7509 0.7448
O 0.3202 0.4671 0.5365
O 0.8202 0.5329 0.9635
O 0.9835 0.4534 0.6447

Output
The raw total energy comes out at -6.06 eV per atom. For the formation energy without anion corrections, the calculation gives -1.76 eV per atom. Its crystal system is monoclinic. As for the magnetic moment: 0.00 μB/f.u. As for the symmetry: P2_1/c (14). The energy above the lowest structure with this stoichiometry comes out at 0 meV per atom.

No. 9
Computed, not measured: crystalline NaLa2SiO6 at its relaxed geometry at the GGA-PBE level of DFT.

Cell: 5.5350 5.7895 7.8615 Å, 90.00 89.37 90.00°
Last column: magnetic moment on the atom in μB.
Atoms (fractional coordinates):
O 0.9093 0.5336 0.2185  0.15
La 0.4851 0.4430 0.2472  0.00
O 0.5907 0.0336 0.2815  0.15
O 0.8330 0.7608 0.9462  0.20
O 0.0907 0.4664 0.7815  0.15
O 0.3330 0.7392 0.4462  0.20
La 0.5149 0.5570 0.7528  0.00
O 0.2327 0.1718 0.4592  0.10
O 0.7327 0.3282 0.9592  0.10
Si 0.0000 0.5000 0.0000  -0.01
Na 0.5000 0.0000 0.0000  0.00
La 0.9851 0.0570 0.7472  0.00
O 0.7673 0.8282 0.5408  0.10
Si 0.5000 0.0000 0.5000  -0.01
O 0.6670 0.2608 0.5538  0.20
O 0.2673 0.6718 0.0408  0.10
O 0.4093 0.9664 0.7185  0.15
Na 0.0000 0.5000 0.5000  0.00
La 0.0149 0.9430 0.2528  0.00
O 0.1670 0.2392 0.0538  0.20

Output
The raw total energy comes out at -7.39 eV per atom. For the formation energy without anion corrections, the calculation gives -2.75 eV per atom. Its crystal system is monoclinic. As for the magnetic moment: 1.07 μB/f.u. As for the symmetry: P2_1/c (14).

No. 10
Computed, not measured: crystalline NaLa2SiO at its relaxed geometry at the GGA-PBE level of DFT.

Cell: 4.9616 4.9616 4.5668 Å, 90.00 90.00 90.00°
Atoms (fractional coordinates):
Si 0.5000 0.5000 0.5000
O 0.0000 0.0000 0.0000
La 0.5000 0.0000 0.0000
La 0.0000 0.5000 0.0000
Na 0.0000 0.0000 0.5000

Output
The raw total energy comes out at -5.63 eV per atom. For the formation energy without anion corrections, the calculation gives -1.32 eV per atom. Its crystal system is tetragonal. As for the magnetic moment: 0.00 μB/f.u. As for the symmetry: P4/mmm (123).

No. 11
Computed, not measured: crystalline Na2LaSmO4 at its relaxed geometry at the GGA-PBE level of DFT.

Cell: 3.6006 6.2452 5.9985 Å, 110.38 90.00 90.00°
Atoms (fractional coordinates):
O 0.5000 0.2326 0.2152
O 0.0000 0.2542 0.7842
La 0.5000 0.5000 0.0000
Na 0.0000 0.5000 0.5000
O 0.0000 0.7458 0.2158
Na 0.5000 0.0000 0.5000
O 0.5000 0.7674 0.7848
Sm 0.0000 0.0000 0.0000

Output
The raw total energy comes out at -6.67 eV per atom. For the formation energy without anion corrections, the calculation gives -2.66 eV per atom. Its crystal system is monoclinic. As for the magnetic moment: 0.00 μB/f.u. As for the symmetry: P2/m (10).

No. 12
Computed, not measured: crystalline Na2LaSnO4 at its relaxed geometry at the GGA-PBE level of DFT.

Cell: 3.8130 6.4466 11.0271 Å, 90.00 90.00 107.20°
Atoms (fractional coordinates):
Na 0.3957 0.7914 0.9635
O 0.0000 0.0000 0.0000
O 0.3190 0.6380 0.1372
Na 0.3957 0.7914 0.5365
O 0.6083 0.2167 0.2500
Sn 0.1888 0.3775 0.2500
Sn 0.8112 0.6225 0.7500
O 0.3190 0.6380 0.3628
La 0.0823 0.1646 0.7500
Na 0.6043 0.2086 0.4635
O 0.3917 0.7833 0.7500
O 0.0000 0.0000 0.5000
Na 0.6043 0.2086 0.0365
O 0.6810 0.3620 0.6372
O 0.6810 0.3620 0.8628
La 0.9177 0.8354 0.2500

Output
The raw total energy comes out at -5.67 eV per atom. For the formation energy without anion corrections, the calculation gives -1.75 eV per atom. Its crystal system is orthorhombic. As for the magnetic moment: 0.00 μB/f.u. As for the symmetry: Cmcm (63).

No. 13
Computed, not measured: crystalline NaLa2SnO5 at its relaxed geometry at the GGA-PBE level of DFT.

Cell: 6.2608 6.9650 6.9650 Å, 90.00 90.00 90.00°
Last column: magnetic moment on the atom in μB.
Atoms (fractional coordinates):
La 0.5000 0.3192 0.8192  0.03
La 0.5000 0.6808 0.1808  0.03
O 0.2524 0.6415 0.8585  0.10
O 0.7476 0.8585 0.3585  0.10
O 0.7476 0.3585 0.1415  0.10
Sn 0.0000 0.0000 0.5000  0.21
La 0.5000 0.8192 0.6808  0.03
O 0.7476 0.1415 0.6415  0.10
O 0.2524 0.8585 0.3585  0.10
Na 0.0000 0.5000 0.5000  0.01
O 0.2524 0.1415 0.6415  0.10
La 0.5000 0.1808 0.3192  0.03
O 0.5000 0.0000 0.0000  0.01
O 0.2524 0.3585 0.1415  0.10
O 0.7476 0.6415 0.8585  0.10
O 0.5000 0.5000 0.5000  0.01
Na 0.0000 0.0000 0.0000  0.01
Sn 0.0000 0.5000 0.0000  0.21

Output
The raw total energy comes out at -6.73 eV per atom. For the formation energy without anion corrections, the calculation gives -2.29 eV per atom. Its crystal system is tetragonal. As for the magnetic moment: 0.88 μB/f.u. As for the symmetry: P4/mbm (127).

No. 14
Computed, not measured: crystalline Na2LaSnO at its relaxed geometry at the GGA-PBE level of DFT.

Cell: 5.0201 5.0201 4.6695 Å, 90.00 90.00 90.00°
Atoms (fractional coordinates):
La 0.0000 0.0000 0.5000
Sn 0.5000 0.5000 0.5000
Na 0.0000 0.5000 0.0000
Na 0.5000 0.0000 0.0000
O 0.0000 0.0000 0.0000

Output
The raw total energy comes out at -4.52 eV per atom. For the formation energy without anion corrections, the calculation gives -1.21 eV per atom. Its crystal system is tetragonal. As for the magnetic moment: 0.00 μB/f.u. As for the symmetry: P4/mmm (123).

No. 15
Computed, not measured: crystalline NaSr2LaO at its relaxed geometry at the GGA-PBE level of DFT.

Cell: 6.0275 6.0275 4.6570 Å, 90.00 90.00 90.00°
Atoms (fractional coordinates):
Sr 0.0000 0.5000 0.0000
La 0.0000 0.0000 0.5000
Na 0.5000 0.5000 0.5000
Sr 0.5000 0.0000 0.0000
O 0.0000 0.0000 0.0000

Output
The raw total energy comes out at -3.87 eV per atom. For the formation energy without anion corrections, the calculation gives -0.95 eV per atom. Its crystal system is tetragonal. As for the magnetic moment: 0.00 μB/f.u. As for the symmetry: P4/mmm (123).

No. 16
Computed, not measured: crystalline Na2SrLa2Ti5O15 at its relaxed geometry at the GGA-PBE level of DFT.

Cell: 5.5529 5.5364 19.8480 Å, 98.02 97.98 90.00°
Atoms (fractional coordinates):
O 0.9402 0.0273 0.3114
O 0.3851 0.5999 0.7988
Ti 0.4692 0.6039 0.8984
O 0.3146 0.9611 0.0914
La 0.0628 0.7488 0.2017
Sr 0.5000 0.1487 0.0000
O 0.5000 0.6062 0.0000
O 0.6854 0.8697 0.9086
O 0.1771 0.8281 0.9068
Ti 0.8731 0.9955 0.6993
O 0.6149 0.8011 0.2012
Na 0.4351 0.0544 0.7993
O 0.8658 0.5130 0.2900
O 0.2973 0.3952 0.5998
O 0.2793 0.4831 0.1117
La 0.3147 0.9512 0.5991
O 0.4427 0.0902 0.3117
O 0.1342 0.2230 0.7100
Ti 0.2467 0.3894 0.4985
O 0.2078 0.3255 0.8884
Ti 0.6252 0.8016 0.3007
Ti 0.1269 0.2962 0.3007
O 0.7922 0.4372 0.1116
La 0.9372 0.5471 0.7983
O 0.8229 0.9213 0.0932
Ti 0.5308 0.7055 0.1016
La 0.6853 0.3521 0.4009
O 0.4621 0.1217 0.4896
O 0.0413 0.6997 0.5115
Na 0.8132 0.4446 0.5985
O 0.9587 0.1882 0.4885
Ti 0.9655 0.0973 0.8982
O 0.5379 0.6321 0.5104
O 0.6381 0.2936 0.7113
Ti 0.3748 0.5008 0.6993
O 0.8875 0.9908 0.7986
Ti 0.7533 0.8908 0.5015
Na 0.5649 0.2551 0.2007
O 0.1125 0.1922 0.2014
Ti 0.0345 0.1991 0.1018
Sr 0.0000 0.6477 0.0000
O 0.2076 0.4067 0.4004
O 0.0000 0.1877 0.0000
O 0.7207 0.3713 0.8883
O 0.0598 0.7159 0.6886
O 0.7924 0.0063 0.5996
O 0.7027 0.7954 0.4002
O 0.5573 0.7784 0.6883
Na 0.1868 0.8461 0.4015
O 0.3619 0.5823 0.2887

Output
The raw total energy comes out at -8.16 eV per atom. For the formation energy without anion corrections, the calculation gives -3.04 eV per atom. Its crystal system is monoclinic. As for the magnetic moment: 0.00 μB/f.u. As for the symmetry: C2 (5).